Material: PrYAl6
Method: DFT, GGA-PBEsol
State: relaxed

Crystal system: hexagonal
Total magnetization: 0.00 μB/f.u.

Geometry as POSCAR:
```
PrYAl6
1.0
6.3329 0.0000 0.0000
-3.1664 5.4844 0.0000
0.0000 0.0000 4.6087
Pr Y Al
1 1 6
Direct
0.0000 0.0000 0.0000
0.3333 0.6667 0.5000
0.3799 0.1899 0.5000
0.5204 0.0408 0.0000
0.5204 0.4796 0.0000
0.8101 0.1899 0.5000
0.8101 0.6201 0.5000
0.9592 0.4796 0.0000
```

Material: PrYAl4
Method: DFT, GGA-PBEsol
State: relaxed

Crystal system: cubic
Total magnetization: 0.00 μB/f.u.

Geometry as POSCAR:
```
PrYAl4
1.0
0.0000 3.9549 3.9549
3.9549 0.0000 3.9549
3.9549 3.9549 0.0000
Pr Y Al
1 1 4
Direct
0.0000 0.0000 0.0000
0.2500 0.2500 0.2500
0.1252 0.6249 0.6249
0.6249 0.1252 0.6249
0.6249 0.6249 0.1252
0.6249 0.6249 0.6249
```

Material: PrAl2Zn2
Method: DFT, GGA-PBEsol
State: relaxed

Crystal system: tetragonal
Total magnetization: 0.00 μB/f.u.

Geometry as POSCAR:
```
PrAl2Zn2
1.0
-2.0849 2.0849 5.4078
2.0849 -2.0849 5.4078
2.0849 2.0849 -5.4078
Pr Al Zn
1 2 2
Direct
0.0000 0.0000 0.0000
0.2500 0.7500 0.5000
0.7500 0.2500 0.5000
0.3885 0.3885 0.0000
0.6115 0.6115 0.0000
```

Material: AlPt3
Method: DFT, GGA-PBEsol
State: relaxed

Crystal system: tetragonal
Total magnetization: 0.00 μB/f.u.

Geometry as POSCAR:
```
AlPt3
1.0
-2.7263 2.7263 3.9045
2.7263 -2.7263 3.9045
2.7263 2.7263 -3.9045
Al Pt
2 6
Direct
0.2500 0.7500 0.5000
0.7500 0.2500 0.5000
0.2184 0.7184 0.9369
0.2500 0.2500 0.0000
0.2816 0.2184 0.5000
0.7184 0.7816 0.5000
0.7500 0.7500 0.0000
0.7816 0.2816 0.0631
```

Material: Al2Pt
Method: DFT, GGA-PBEsol
State: relaxed

Crystal system: orthorhombic
Total magnetization: 0.00 μB/f.u.

Geometry as POSCAR:
```
Al2Pt
1.0
1.4666 -6.7323 0.0000
1.4666 6.7323 0.0000
0.0000 0.0000 4.6700
Al Pt
4 2
Direct
0.0527 0.9473 0.7500
0.3708 0.6292 0.7500
0.6292 0.3708 0.2500
0.9473 0.0527 0.2500
0.2940 0.7060 0.2500
0.7060 0.2940 0.7500
```

Material: AlPt
Method: DFT, GGA-PBEsol
State: relaxed

Crystal system: cubic
Total magnetization: 0.00 μB/f.u.

Geometry as POSCAR:
```
AlPt
1.0
4.8648 0.0000 0.0000
0.0000 4.8648 0.0000
0.0000 0.0000 4.8648
Al Pt
4 4
Direct
0.1558 0.3442 0.6558
0.3442 0.6558 0.1558
0.6558 0.1558 0.3442
0.8442 0.8442 0.8442
0.1542 0.1542 0.1542
0.3458 0.8458 0.6542
0.6542 0.3458 0.8458
0.8458 0.6542 0.3458
```

Material: Al2Pt
Method: DFT, GGA-PBEsol
State: relaxed

Crystal system: cubic
Total magnetization: 0.00 μB/f.u.

Geometry as POSCAR:
```
Al2Pt
1.0
0.0000 2.9457 2.9457
2.9457 0.0000 2.9457
2.9457 2.9457 0.0000
Al Pt
2 1
Direct
0.2500 0.2500 0.2500
0.7500 0.7500 0.7500
0.0000 0.0000 0.0000
```

Material: AlPt3
Method: DFT, GGA-PBEsol
State: relaxed

Crystal system: tetragonal
Total magnetization: 0.00 μB/f.u.

Geometry as POSCAR:
```
AlPt3
1.0
5.4472 0.0000 0.0000
0.0000 5.4472 0.0000
0.0000 0.0000 7.8260
Al Pt
4 12
Direct
0.0000 0.5000 0.2380
0.0000 0.5000 0.7620
0.5000 0.0000 0.2380
0.5000 0.0000 0.7620
0.0000 0.0000 0.2534
0.0000 0.0000 0.7466
0.1959 0.3041 0.5000
0.2378 0.7378 0.0000
0.2622 0.2378 0.0000
0.3041 0.8041 0.5000
0.5000 0.5000 0.2534
0.5000 0.5000 0.7466
0.6959 0.1959 0.5000
0.7378 0.7622 0.0000
0.7622 0.2622 0.0000
0.8041 0.6959 0.5000
```

Material: Al5Pt
Method: DFT, GGA-PBEsol
State: relaxed

Crystal system: orthorhombic
Total magnetization: 0.00 μB/f.u.

Geometry as POSCAR:
```
Al5Pt
1.0
1.9653 -5.9439 0.0000
1.9653 5.9439 0.0000
0.0000 0.0000 3.9325
Al Pt
5 1
Direct
0.0000 0.0000 0.0000
0.1609 0.8391 0.5000
0.3356 0.6644 0.0000
0.6644 0.3356 0.0000
0.8391 0.1609 0.5000
0.5000 0.5000 0.5000
```

Material: AlPt
Method: DFT, GGA-PBEsol
State: relaxed

Crystal system: trigonal
Total magnetization: 0.00 μB/f.u.

Geometry as POSCAR:
```
AlPt
1.0
1.4378 0.8301 8.3920
-1.4378 0.8301 8.3920
0.0000 -1.6602 8.3920
Al Pt
2 2
Direct
0.1227 0.1227 0.1227
0.8773 0.8773 0.8773
0.3804 0.3804 0.3804
0.6196 0.6196 0.6196
```

Material: Al2Pt
Method: DFT, GGA-PBEsol
State: relaxed

Crystal system: trigonal
Total magnetization: 0.00 μB/f.u.

Geometry as POSCAR:
```
Al2Pt
1.0
4.3201 0.0000 0.0000
-2.1601 3.7413 0.0000
0.0000 0.0000 2.8253
Al Pt
2 1
Direct
0.3333 0.6667 0.2493
0.6667 0.3333 0.7507
0.0000 0.0000 0.0000
```

Material: AlPt3
Method: DFT, GGA-PBEsol
State: relaxed

Crystal system: hexagonal
Total magnetization: 0.00 μB/f.u.

Geometry as POSCAR:
```
AlPt3
1.0
5.5117 0.0000 0.0000
-2.7559 4.7733 0.0000
0.0000 0.0000 4.4344
Al Pt
2 6
Direct
0.3333 0.6667 0.2500
0.6667 0.3333 0.7500
0.1674 0.3348 0.7500
0.1674 0.8326 0.7500
0.3348 0.1674 0.2500
0.6652 0.8326 0.7500
0.8326 0.1674 0.2500
0.8326 0.6652 0.2500
```

Material: Al4Pt
Method: DFT, GGA-PBEsol
State: relaxed

Crystal system: cubic
Total magnetization: 0.00 μB/f.u.

Geometry as POSCAR:
```
Al4Pt
1.0
-2.8812 2.8812 2.8812
2.8812 -2.8812 2.8812
2.8812 2.8812 -2.8812
Al Pt
4 1
Direct
0.0000 0.0000 0.5000
0.0000 0.5000 0.0000
0.5000 0.0000 0.0000
0.5000 0.5000 0.5000
0.0000 0.0000 0.0000
```

Number 1: formation energy from the elements -0.441 eV/atom. Number 2: formation energy from the elements -0.513 eV/atom. Number 3: formation energy from the elements -0.455 eV/atom. Number 4: formation energy from the elements -0.712 eV/atom. Number 5: formation energy from the elements -0.572 eV/atom. Number 6: formation energy from the elements -1.053 eV/atom. Number 7: formation energy from the elements -0.873 eV/atom. Number 8: formation energy from the elements -0.714 eV/atom. Number 9: formation energy from the elements -0.315 eV/atom. Number 10: formation energy from the elements -0.487 eV/atom. Number 11: formation energy from the elements -0.453 eV/atom. Number 12: formation energy from the elements -0.632 eV/atom. Number 13: formation energy from the elements -0.184 eV/atom.